Compound: PmMnPt2O8
Source: Alexandria
Functional: GGA+U
Structure: relaxed

CIF file:
```
data_PmMnPt2O8
_chemical_formula_sum 'Pm1 Mn1 Pt2 O8'
_cell_length_a 5.3009
_cell_length_b 5.3009
_cell_length_c 6.0710
_cell_angle_alpha 90.00
_cell_angle_beta 90.00
_cell_angle_gamma 120.00
_symmetry_space_group_name_H-M 'P -3'
_symmetry_Int_Tables_number 147
_symmetry_space_group_name_Hall '-P 3'
loop_
_atom_site_label
_atom_site_fract_x
_atom_site_fract_y
_atom_site_fract_z
Pm1 0.0000 0.0000 0.0000
Mn1 0.0000 0.0000 0.5000
Pt1 0.3333 0.6667 0.4077
O1 0.0710 0.3294 0.6728
O2 0.3333 0.6667 0.0976
```

Computed properties:
M_tot (μB/atom): 0.5012
Uncorrected energy (eV/atom): -5.96